# 1
Density functional theory data (GGA-PBE) for a relaxed structure of CaMg2Pb.

The structure in POSCAR format:
```
CaMg2Pb
1.0
-0.227 3.549 -2.850
-4.337 -1.035 -0.943
-5.740 7.930 6.688
Pb Ca Mg
2 2 4
Direct
0.000 0.000 0.000
0.750 0.250 0.500
0.500 0.500 0.000
0.250 0.750 0.500
0.640 0.125 0.250
0.110 0.625 0.250
0.375 0.360 0.750
0.875 0.890 0.750
```

Summary:
Spin magnetization = 0.00 Bohr magnetons per cell
Calculated volume = 29.62 Å³/atom
Electronic total energy = -2.22 eV per atom
DFT formation energy = 3 meV/atom

=====

# 2
Density functional theory data (GGA-PBE) for a relaxed structure of K2Ga2Sb2As.

The structure in POSCAR format:
```
K2Ga2Sb2As
1.0
4.318 0.000 -0.001
2.158 6.754 1.030
-0.001 2.821 8.690
K Ga Sb As
2 2 2 1
Direct
0.525 0.949 0.742
0.475 0.051 0.258
0.811 0.380 0.800
0.189 0.620 0.200
0.787 0.425 0.407
0.213 0.575 0.593
0.000 0.000 0.000
```

Summary:
Spin magnetization = 0.00 Bohr magnetons per cell
Calculated volume = 34.41 Å³/atom
Electronic total energy = -3.19 eV per atom
E_form (uncorrected) = -0.1720 eV/atom

=====

# 3
Density functional theory data (GGA-PBE) for a relaxed structure of CrAgOs2.

The structure in POSCAR format:
```
CrAgOs2
1.0
-2.412 0.329 4.146
0.163 -0.283 4.797
0.753 4.512 1.263
Ag Cr Os
1 1 2
Direct
0.250 0.250 0.250
0.750 0.750 0.750
0.021 0.021 0.974
0.479 0.479 0.526
```

Summary:
Spin magnetization = 0.00 Bohr magnetons per cell
Calculated volume = 14.53 Å³/atom
Electronic total energy = -8.29 eV per atom
DFT formation energy = 444 meV/atom

=====

# 4
Density functional theory data (GGA-PBE) for a relaxed structure of Hf2NiGe.

The structure in POSCAR format:
```
Hf2NiGe
1.0
3.735 0.000 0.000
1.868 3.235 0.000
1.868 1.078 6.266
Ni Ge Hf
1 1 2
Direct
0.000 0.000 0.000
0.500 0.500 0.500
0.255 0.255 0.234
0.745 0.745 0.766
```

Summary:
Spin magnetization = 0.00 Bohr magnetons per cell
Calculated volume = 18.93 Å³/atom
Electronic total energy = -7.84 eV per atom
DFT formation energy = -265 meV/atom

=====

# 5
Density functional theory data (GGA-PBE) for a relaxed structure of LiMgGa2.

The structure in POSCAR format:
```
LiMgGa2
1.0
3.052 0.000 0.000
1.526 2.643 0.000
1.526 0.881 9.015
Li Mg Ga
1 1 2
Direct
0.500 0.500 0.499
0.666 0.666 0.001
0.087 0.087 0.739
0.246 0.246 0.262
```

Summary:
Spin magnetization = 0.00 Bohr magnetons per cell
Calculated volume = 18.18 Å³/atom
Electronic total energy = -2.56 eV per atom
DFT formation energy = -173 meV/atom

=====

# 6
Density functional theory data (GGA-PBE) for a relaxed structure of LiCu2B.

The structure in POSCAR format:
```
LiCu2B
1.0
-0.448 -4.536 0.879
3.443 0.261 3.103
-2.714 -0.838 6.555
B Cu Li
2 4 2
Direct
0.000 0.000 0.000
0.750 0.250 0.500
0.875 0.125 0.250
0.875 0.625 0.250
0.375 0.125 0.750
0.875 0.125 0.750
0.500 0.500 0.000
0.250 0.750 0.500
```

Summary:
Spin magnetization = 0.00 Bohr magnetons per cell
Calculated volume = 17.09 Å³/atom
Electronic total energy = -3.71 eV per atom
DFT formation energy = 490 meV/atom

=====

# 7
Density functional theory data (GGA-PBE) for a relaxed structure of Rb2ZnF.

The structure in POSCAR format:
```
Rb2ZnF
1.0
-0.445 -8.247 -0.188
7.039 -0.282 -4.315
5.844 -4.497 1.919
Zn Rb F
2 4 2
Direct
0.000 0.000 0.000
0.750 0.250 0.500
0.517 0.125 0.250
0.233 0.625 0.250
0.375 0.483 0.750
0.875 0.767 0.750
0.500 0.500 0.000
0.250 0.750 0.500
```

Summary:
Spin magnetization = 0.00 Bohr magnetons per cell
Calculated volume = 41.73 Å³/atom
Electronic total energy = -2.37 eV per atom
E_form (uncorrected) = -1.1046 eV/atom

=====

# 8
Density functional theory data (GGA-PBE) for a relaxed structure of MgTi2Os.

The structure in POSCAR format:
```
MgTi2Os
1.0
3.143 0.000 0.000
0.000 3.143 0.000
0.000 0.000 6.735
Mg Os Ti
1 1 2
Direct
0.500 0.500 0.500
0.500 0.500 0.000
0.000 0.000 0.779
0.000 0.000 0.221
```

Summary:
Spin magnetization = 0.00 Bohr magnetons per cell
Calculated volume = 16.63 Å³/atom
Electronic total energy = -7.39 eV per atom
DFT formation energy = -232 meV/atom